4
Lattice="4.678 0.000 0.000 2.339 4.052 0.000 2.339 1.351 3.820" Properties=species:S:1:pos:R:3 comment="CoHgAs2 (PBE, optimized geometry)" energy_ev_per_atom=-3.551 ef_mev_per_atom=626 pbc="T T T"
Co 4.678 2.701 1.910
As 2.339 1.351 0.955
As 0.000 0.000 0.000
Hg 7.018 4.052 2.865